# 1
Material: NaTb2TaO6
Method: DFT, GGA-PBE
State: relaxed

The structure in CIF format:
```
data_NaTb2TaO6
_symmetry_space_group_name_H-M 'R 3'
_symmetry_Int_Tables_number 146
_symmetry_space_group_name_Hall 'R 3'
_cell_length_a 5.6990
_cell_length_b 5.6990
_cell_length_c 15.0670
_cell_angle_alpha 90.00
_cell_angle_beta 90.00
_cell_angle_gamma 120.00
loop_
_atom_site_label
_atom_site_type_symbol
_atom_site_fract_x
_atom_site_fract_y
_atom_site_fract_z
Na1 Na 0.0000 0.0000 0.0000
Tb1 Tb 0.0000 0.0000 0.2742
Tb2 Tb 0.0000 0.0000 0.7777
Ta1 Ta 0.0000 0.0000 0.4813
O1 O 0.0152 0.3763 0.2103
O2 O 0.0145 0.7376 0.3896
```

Computed properties:
Energy relative to the elements, uncorrected ... -3081 meV per atom

# 2
Material: K2PmSmS4
Method: DFT, GGA-PBE
State: relaxed

The structure in CIF format:
```
data_K2PmSmS4
_symmetry_space_group_name_H-M 'P 1 2/m 1'
_symmetry_Int_Tables_number 10
_cell_length_a 7.1953
_cell_length_b 4.1532
_cell_length_c 7.7720
_cell_angle_alpha 90.00
_cell_angle_beta 107.96
_cell_angle_gamma 90.00
loop_
_symmetry_equiv_pos_as_xyz
'x,y,z'
'-x,-y,-z'
'-x,y,-z'
'x,-y,z'
loop_
_atom_site_label
_atom_site_type_symbol
_atom_site_fract_x
_atom_site_fract_y
_atom_site_fract_z
K1 K 0.0000 0.0000 0.0000
K2 K 0.5000 0.5000 0.0000
Pm1 Pm 0.0000 0.5000 0.5000
Sm1 Sm 0.5000 0.0000 0.5000
S1 S 0.2364 0.0000 0.7060
S2 S 0.2660 0.5000 0.2944
```

Computed properties:
Energy relative to the elements, uncorrected ... -1865 meV per atom

# 3
Material: YTi2InH
Method: DFT, GGA-PBE
State: relaxed

The structure in CIF format:
```
data_YTi2InH
_symmetry_space_group_name_H-M 'P 4/m m m'
_symmetry_Int_Tables_number 123
_symmetry_space_group_name_Hall '-P 4 2'
_cell_length_a 4.3609
_cell_length_b 4.3609
_cell_length_c 4.5086
_cell_angle_alpha 90.00
_cell_angle_beta 90.00
_cell_angle_gamma 90.00
loop_
_atom_site_label
_atom_site_type_symbol
_atom_site_fract_x
_atom_site_fract_y
_atom_site_fract_z
Y1 Y 0.0000 0.0000 0.0000
Ti1 Ti 0.0000 0.5000 0.5000
In1 In 0.5000 0.5000 0.0000
H1 H 0.0000 0.0000 0.5000
```

Computed properties:
E_tot ... -5.86 eV per atom

# 4
Material: Li2ZnBiF8
Method: DFT, GGA-PBE
State: relaxed

The structure in CIF format:
```
data_Li2ZnBiF8
_symmetry_space_group_name_H-M 'C m m m'
_symmetry_Int_Tables_number 65
_symmetry_space_group_name_Hall '-C 2 2'
_cell_length_a 6.6722
_cell_length_b 6.8572
_cell_length_c 6.7578
_cell_angle_alpha 90.00
_cell_angle_beta 90.00
_cell_angle_gamma 90.00
loop_
_atom_site_label
_atom_site_type_symbol
_atom_site_fract_x
_atom_site_fract_y
_atom_site_fract_z
Li1 Li 0.0000 0.0000 0.2104
Zn1 Zn 0.0000 0.5000 0.0000
Bi1 Bi 0.0000 0.5000 0.5000
F1 F 0.0000 0.2983 0.2470
F2 F 0.1789 0.0000 0.5000
F3 F 0.2085 0.0000 0.0000
```

Computed properties:
Energy relative to the elements, uncorrected ... -2391 meV per atom

# 5
Material: Tl2RhPb
Method: DFT, GGA-PBE
State: relaxed

The structure in CIF format:
```
data_Tl2RhPb
_symmetry_space_group_name_H-M 'I m m 2'
_symmetry_Int_Tables_number 44
_cell_length_a 3.1982
_cell_length_b 4.6925
_cell_length_c 13.7368
_cell_angle_alpha 90.00
_cell_angle_beta 90.00
_cell_angle_gamma 90.00
loop_
_symmetry_equiv_pos_as_xyz
'x,y,z'
'-x,-y,z'
'-x,y,z'
'x,-y,z'
'x+1/2,y+1/2,z+1/2'
'-x+1/2,-y+1/2,z+1/2'
'-x+1/2,y+1/2,z+1/2'
'x+1/2,-y+1/2,z+1/2'
loop_
_atom_site_label
_atom_site_type_symbol
_atom_site_fract_x
_atom_site_fract_y
_atom_site_fract_z
Tl1 Tl 0.0000 0.0000 0.0000
Tl2 Tl 0.0000 0.5000 0.1802
Rh1 Rh 0.0000 0.0000 0.4960
Pb1 Pb 0.0000 0.5000 0.8191
```

Computed properties:
E_tot ... -3.90 eV per atom

# 6
Material: Tl3CoI
Method: DFT, GGA-PBE
State: relaxed

The structure in CIF format:
```
data_Tl3CoI
_symmetry_space_group_name_H-M 'P m -3 m'
_symmetry_Int_Tables_number 221
_symmetry_space_group_name_Hall '-P 4 2 3'
_cell_length_a 5.2301
_cell_length_b 5.2301
_cell_length_c 5.2301
_cell_angle_alpha 90.00
_cell_angle_beta 90.00
_cell_angle_gamma 90.00
loop_
_atom_site_label
_atom_site_type_symbol
_atom_site_fract_x
_atom_site_fract_y
_atom_site_fract_z
Tl1 Tl 0.0000 0.0000 0.5000
Co1 Co 0.0000 0.0000 0.0000
I1 I 0.5000 0.5000 0.5000
```

Computed properties:
Energy relative to the elements, uncorrected ... -36 meV per atom

# 7
Material: SbTe2PS
Method: DFT, GGA-PBE
State: relaxed

The structure in CIF format:
```
data_SbTe2PS
_symmetry_space_group_name_H-M 'P 4/m m m'
_symmetry_Int_Tables_number 123
_symmetry_space_group_name_Hall '-P 4 2'
_cell_length_a 5.1832
_cell_length_b 5.1832
_cell_length_c 5.2475
_cell_angle_alpha 90.00
_cell_angle_beta 90.00
_cell_angle_gamma 90.00
loop_
_atom_site_label
_atom_site_type_symbol
_atom_site_fract_x
_atom_site_fract_y
_atom_site_fract_z
Sb1 Sb 0.0000 0.0000 0.0000
Te1 Te 0.0000 0.5000 0.5000
P1 P 0.0000 0.0000 0.5000
S1 S 0.5000 0.5000 0.0000
```

Computed properties:
Energy relative to the elements, uncorrected ... 790 meV per atom

# 8
Material: SrCrPd
Method: DFT, GGA-PBE
State: relaxed

The structure in CIF format:
```
data_SrCrPd
_symmetry_space_group_name_H-M 'P -1'
_symmetry_Int_Tables_number 2
_cell_length_a 3.2185
_cell_length_b 6.3138
_cell_length_c 7.1070
_cell_angle_alpha 68.15
_cell_angle_beta 89.85
_cell_angle_gamma 75.29
loop_
_symmetry_equiv_pos_as_xyz
'x,y,z'
'-x,-y,-z'
loop_
_atom_site_label
_atom_site_type_symbol
_atom_site_fract_x
_atom_site_fract_y
_atom_site_fract_z
Sr1 Sr 0.0000 0.0000 0.0000
Sr2 Sr 0.0000 0.0000 0.5000
Cr1 Cr 0.2907 0.4216 0.1062
Pd1 Pd 0.2842 0.4332 0.6797
```

Computed properties:
E_tot ... -5.27 eV per atom

# 9
Material: La4Tb2Sn3O2
Method: DFT, GGA-PBE
State: relaxed

The structure in CIF format:
```
data_La4Tb2Sn3O2
_symmetry_space_group_name_H-M 'I 4/m m m'
_symmetry_Int_Tables_number 139
_symmetry_space_group_name_Hall '-I 4 2'
_cell_length_a 4.8671
_cell_length_b 4.8671
_cell_length_c 25.9482
_cell_angle_alpha 90.00
_cell_angle_beta 90.00
_cell_angle_gamma 90.00
loop_
_atom_site_label
_atom_site_type_symbol
_atom_site_fract_x
_atom_site_fract_y
_atom_site_fract_z
La1 La 0.0000 0.5000 0.0849
Tb1 Tb 0.0000 0.0000 0.1966
Sn1 Sn 0.0000 0.0000 0.3192
Sn2 Sn 0.0000 0.0000 0.5000
O1 O 0.0000 0.0000 0.1087
```

Computed properties:
Energy relative to the elements, uncorrected ... -1475 meV per atom

# 10
Material: SrFeGe2Ru
Method: DFT, GGA-PBE
State: relaxed

The structure in CIF format:
```
data_SrFeGe2Ru
_symmetry_space_group_name_H-M 'I -4 m 2'
_symmetry_Int_Tables_number 119
_symmetry_space_group_name_Hall 'I -4 -2'
_cell_length_a 4.1544
_cell_length_b 4.1544
_cell_length_c 10.9524
_cell_angle_alpha 90.00
_cell_angle_beta 90.00
_cell_angle_gamma 90.00
loop_
_atom_site_label
_atom_site_type_symbol
_atom_site_fract_x
_atom_site_fract_y
_atom_site_fract_z
Sr1 Sr 0.0000 0.0000 0.0000
Fe1 Fe 0.0000 0.5000 0.2500
Ge1 Ge 0.0000 0.0000 0.3671
Ru1 Ru 0.0000 0.5000 0.7500
```

Computed properties:
E_tot ... -6.11 eV per atom

# 11
Material: Sm3AsSeCl
Method: DFT, GGA-PBE
State: relaxed

The structure in CIF format:
```
data_Sm3AsSeCl
_symmetry_space_group_name_H-M 'P 1 21/m 1'
_symmetry_Int_Tables_number 11
_cell_length_a 8.5409
_cell_length_b 4.0876
_cell_length_c 10.0268
_cell_angle_alpha 90.00
_cell_angle_beta 92.51
_cell_angle_gamma 90.00
loop_
_symmetry_equiv_pos_as_xyz
'x,y,z'
'-x,-y,-z'
'-x,y+1/2,-z'
'x,-y+1/2,z'
loop_
_atom_site_label
_atom_site_type_symbol
_atom_site_fract_x
_atom_site_fract_y
_atom_site_fract_z
Sm1 Sm 0.1148 0.2500 0.3490
Sm2 Sm 0.1571 0.2500 0.9295
Sm3 Sm 0.3749 0.7500 0.6344
As1 As 0.1316 0.2500 0.6414
Se1 Se 0.3719 0.7500 0.3391
Cl1 Cl 0.3786 0.7500 0.9156
```

Computed properties:
Energy relative to the elements, uncorrected ... -1517 meV per atom

# 12
Material: CrB3Rh
Method: DFT, GGA-PBE
State: relaxed

The structure in CIF format:
```
data_CrB3Rh
_symmetry_space_group_name_H-M 'P m -3 m'
_symmetry_Int_Tables_number 221
_symmetry_space_group_name_Hall '-P 4 2 3'
_cell_length_a 3.7997
_cell_length_b 3.7997
_cell_length_c 3.7997
_cell_angle_alpha 90.00
_cell_angle_beta 90.00
_cell_angle_gamma 90.00
loop_
_atom_site_label
_atom_site_type_symbol
_atom_site_fract_x
_atom_site_fract_y
_atom_site_fract_z
Cr1 Cr 0.0000 0.0000 0.0000
B1 B 0.0000 0.0000 0.5000
Rh1 Rh 0.5000 0.5000 0.5000
```

Computed properties:
E_tot ... -6.23 eV per atom

# 13
Material: Hg2IrPb
Method: DFT, GGA-PBE
State: relaxed

The structure in CIF format:
```
data_Hg2IrPb
_symmetry_space_group_name_H-M 'I -4 m 2'
_symmetry_Int_Tables_number 119
_symmetry_space_group_name_Hall 'I -4 -2'
_cell_length_a 4.4832
_cell_length_b 4.4832
_cell_length_c 8.4992
_cell_angle_alpha 90.00
_cell_angle_beta 90.00
_cell_angle_gamma 90.00
loop_
_atom_site_label
_atom_site_type_symbol
_atom_site_fract_x
_atom_site_fract_y
_atom_site_fract_z
Hg1 Hg 0.0000 0.0000 0.0000
Hg2 Hg 0.0000 0.5000 0.2500
Ir1 Ir 0.0000 0.5000 0.7500
Pb1 Pb 0.0000 0.0000 0.5000
```

Computed properties:
E_tot ... -2.81 eV per atom

# 14
Material: Y2Zn2Rh
Method: DFT, GGA-PBE
State: relaxed

The structure in CIF format:
```
data_Y2Zn2Rh
_symmetry_space_group_name_H-M 'I 4/m m m'
_symmetry_Int_Tables_number 139
_symmetry_space_group_name_Hall '-I 4 2'
_cell_length_a 3.5222
_cell_length_b 3.5222
_cell_length_c 17.6049
_cell_angle_alpha 90.00
_cell_angle_beta 90.00
_cell_angle_gamma 90.00
loop_
_atom_site_label
_atom_site_type_symbol
_atom_site_fract_x
_atom_site_fract_y
_atom_site_fract_z
Y1 Y 0.0000 0.0000 0.0938
Zn1 Zn 0.0000 0.5000 0.2500
Rh1 Rh 0.0000 0.0000 0.5000
```

Computed properties:
E_tot ... -4.90 eV per atom

# 15
Material: Sc4N2O
Method: DFT, GGA-PBE
State: relaxed

The structure in CIF format:
```
data_Sc4N2O
_symmetry_space_group_name_H-M 'C 1 2/m 1'
_symmetry_Int_Tables_number 12
_cell_length_a 11.9684
_cell_length_b 3.1756
_cell_length_c 5.4903
_cell_angle_alpha 90.00
_cell_angle_beta 116.28
_cell_angle_gamma 90.00
loop_
_symmetry_equiv_pos_as_xyz
'x,y,z'
'-x,-y,-z'
'-x,y,-z'
'x,-y,z'
'x+1/2,y+1/2,z'
'-x+1/2,-y+1/2,-z'
'-x+1/2,y+1/2,-z'
'x+1/2,-y+1/2,z'
loop_
_atom_site_label
_atom_site_type_symbol
_atom_site_fract_x
_atom_site_fract_y
_atom_site_fract_z
Sc1 Sc 0.1319 0.0000 0.2948
Sc2 Sc 0.1335 0.5000 0.8100
N1 N 0.2428 0.0000 0.7419
O1 O 0.0000 0.5000 0.0000
```

Computed properties:
Energy relative to the elements, uncorrected ... -1891 meV per atom

# 16
Material: Na3Dy3MnSe8
Method: DFT, GGA-PBE
State: relaxed

The structure in CIF format:
```
data_Na3Dy3MnSe8
_symmetry_space_group_name_H-M 'R -3 m'
_symmetry_Int_Tables_number 166
_symmetry_space_group_name_Hall '-R 3 2"'
_cell_length_a 8.0846
_cell_length_b 8.0846
_cell_length_c 21.2732
_cell_angle_alpha 90.00
_cell_angle_beta 90.00
_cell_angle_gamma 120.00
loop_
_atom_site_label
_atom_site_type_symbol
_atom_site_fract_x
_atom_site_fract_y
_atom_site_fract_z
Na1 Na 0.0000 0.5000 0.0000
Dy1 Dy 0.0000 0.5000 0.5000
Mn1 Mn 0.0000 0.0000 0.5000
Se1 Se 0.0000 0.0000 0.2435
Se2 Se 0.0326 0.5163 0.2371
```

Computed properties:
Energy relative to the elements, uncorrected ... -1395 meV per atom

# 17
Material: Er2TmAu
Method: DFT, GGA-PBE
State: relaxed

The structure in CIF format:
```
data_Er2TmAu
_symmetry_space_group_name_H-M 'P 4/m m m'
_symmetry_Int_Tables_number 123
_symmetry_space_group_name_Hall '-P 4 2'
_cell_length_a 4.6681
_cell_length_b 4.6681
_cell_length_c 4.6598
_cell_angle_alpha 90.00
_cell_angle_beta 90.00
_cell_angle_gamma 90.00
loop_
_atom_site_label
_atom_site_type_symbol
_atom_site_fract_x
_atom_site_fract_y
_atom_site_fract_z
Er1 Er 0.0000 0.5000 0.0000
Tm1 Tm 0.0000 0.0000 0.5000
Au1 Au 0.5000 0.5000 0.5000
```

Computed properties:
E_tot ... -4.48 eV per atom

# 18
Material: CeSmCu4
Method: DFT, GGA-PBE
State: relaxed

The structure in CIF format:
```
data_CeSmCu4
_symmetry_space_group_name_H-M 'F -4 3 m'
_symmetry_Int_Tables_number 216
_symmetry_space_group_name_Hall 'F -4 2 3'
_cell_length_a 7.4994
_cell_length_b 7.4994
_cell_length_c 7.4994
_cell_angle_alpha 90.00
_cell_angle_beta 90.00
_cell_angle_gamma 90.00
loop_
_atom_site_label
_atom_site_type_symbol
_atom_site_fract_x
_atom_site_fract_y
_atom_site_fract_z
Ce1 Ce 0.0000 0.0000 0.0000
Sm1 Sm 0.2500 0.2500 0.2500
Cu1 Cu 0.1247 0.1247 0.6247
```

Computed properties:
E_tot ... -4.59 eV per atom

# 19
Material: CuPtBr2
Method: DFT, GGA-PBE
State: relaxed

The structure in CIF format:
```
data_CuPtBr2
_symmetry_space_group_name_H-M 'I -4 m 2'
_symmetry_Int_Tables_number 119
_symmetry_space_group_name_Hall 'I -4 -2'
_cell_length_a 3.6314
_cell_length_b 3.6314
_cell_length_c 15.1552
_cell_angle_alpha 90.00
_cell_angle_beta 90.00
_cell_angle_gamma 90.00
loop_
_atom_site_label
_atom_site_type_symbol
_atom_site_fract_x
_atom_site_fract_y
_atom_site_fract_z
Cu1 Cu 0.0000 0.0000 0.0000
Pt1 Pt 0.0000 0.5000 0.7500
Br1 Br 0.0000 0.0000 0.5000
Br2 Br 0.0000 0.5000 0.2500
```

Computed properties:
Energy relative to the elements, uncorrected ... 302 meV per atom

# 20
Material: Sr2Cd3In5
Method: DFT, GGA-PBE
State: relaxed

The structure in CIF format:
```
data_Sr2Cd3In5
_symmetry_space_group_name_H-M 'P -4 m 2'
_symmetry_Int_Tables_number 115
_cell_length_a 4.8025
_cell_length_b 4.8025
_cell_length_c 12.4832
_cell_angle_alpha 90.00
_cell_angle_beta 90.00
_cell_angle_gamma 90.00
loop_
_symmetry_equiv_pos_as_xyz
'x,y,z'
'y,-x,-z'
'-x,-y,z'
'-y,x,-z'
'-x,y,z'
'-y,-x,-z'
'x,-y,z'
'y,x,-z'
loop_
_atom_site_label
_atom_site_type_symbol
_atom_site_fract_x
_atom_site_fract_y
_atom_site_fract_z
Sr1 Sr 0.0000 0.5000 0.2461
Cd1 Cd 0.0000 0.0000 0.0000
Cd2 Cd 0.0000 0.5000 0.8664
In1 In 0.0000 0.0000 0.5000
In2 In 0.0000 0.5000 0.6434
In3 In 0.5000 0.5000 0.0000
In4 In 0.5000 0.5000 0.5000
```

Computed properties:
E_tot ... -2.26 eV per atom

DOS(E_F), record by record: 0.000 0.000 3.120 6.522 5.499 3.007 6.250 5.824 12.147 8.177 5.475 2.838 3.767 7.685 7.904 1.503 4.794 32.118 5.629 3.677 states/eV per cell
Total magnetization, record by record: 0.00 0.00 0.00 0.00 0.00 0.00 0.00 0.00 0.00 1.64 0.60 1.87 0.00 0.00 0.00 2.99 0.00 0.91 0.00 0.00 μB/f.u.